The following is a PBE calculation of a relaxed structure of AcErS2O8, from Alexandria via LeMat-Bulk.

Cell lengths 5.5821, 5.5821, 7.3106 Å; angles 90.00, 90.00, 120.00 degrees
Last column: nearest neighbours and their distance in Å.
Element x y z (fractional)
Er  0.0000  0.0000  0.0000  6 O 2.24
O  0.6667  0.3333  0.4562  1 S 1.51
O  0.1653  0.3306  0.7860  1 S 1.65
O  0.6694  0.8347  0.7860  1 S 1.65
O  0.1653  0.8347  0.7860  1 S 1.65
O  0.3306  0.1653  0.2140  1 S 1.65
O  0.3333  0.6667  0.5438  1 S 1.51
O  0.8347  0.1653  0.2140  1 S 1.65
O  0.8347  0.6694  0.2140  1 S 1.65
S  0.3333  0.6667  0.7505  4 O 1.51-1.65
S  0.6667  0.3333  0.2495  4 O 1.51-1.65
Ac  0.0000  0.0000  0.5000  6 O 2.63

* raw formation energy: -23.080 eV per formula unit


The following is a PBE calculation of a relaxed structure of PuZn5Ag4, from Alexandria via LeMat-Bulk.

Cell lengths 2.9667, 2.9667, 19.3644 Å; angles 90.00, 90.00, 90.00 degrees
Last column: nearest neighbours and their distance in Å.
Element x y z (fractional)
Pu  0.0000  0.0000  0.0000  4 Pu 2.97, 8 Zn 3.11
Zn  0.5000  0.5000  0.8815  4 Ag 2.79, 4 Zn 2.97, 4 Pu 3.11
Zn  0.5000  0.5000  0.1185  4 Ag 2.79, 4 Zn 2.97, 4 Pu 3.11
Zn  0.5000  0.5000  0.3090  8 Ag 2.79-2.80, 4 Zn 2.97
Zn  0.5000  0.5000  0.5000  8 Ag 2.79, 4 Zn 2.97
Zn  0.5000  0.5000  0.6910  8 Ag 2.79-2.80, 4 Zn 2.97
Ag  0.0000  0.0000  0.4046  8 Zn 2.79-2.80, 4 Ag 2.97
Ag  0.0000  0.0000  0.7862  8 Zn 2.79, 4 Ag 2.97
Ag  0.0000  0.0000  0.5954  8 Zn 2.79-2.80, 4 Ag 2.97
Ag  0.0000  0.0000  0.2138  8 Zn 2.79, 4 Ag 2.97


The following is a PBE calculation of a relaxed structure of Cd2PbAu2, from Alexandria via LeMat-Bulk.

Cell lengths 8.4290, 8.4290, 3.1203 Å; angles 90.00, 90.00, 90.00 degrees
Last column: nearest neighbours and their distance in Å.
Element x y z (fractional)
Au  0.1700  0.6700  0.5000  6 Cd 2.88-2.97, 2 Au 3.12
Au  0.6700  0.8300  0.5000  6 Cd 2.88-2.97, 2 Au 3.12
Au  0.3300  0.1700  0.5000  6 Cd 2.88-2.97, 2 Au 3.12
Au  0.8300  0.3300  0.5000  6 Cd 2.88-2.97, 2 Au 3.12
Cd  0.1268  0.3732  0.0000  6 Au 2.88-2.97, 3 Cd 3.02-3.12
Cd  0.3732  0.8732  0.0000  6 Au 2.88-2.97, 3 Cd 3.02-3.12
Cd  0.8732  0.6268  0.0000  6 Au 2.88-2.97, 3 Cd 3.02-3.12
Cd  0.6268  0.1268  0.0000  6 Au 2.88-2.97, 3 Cd 3.02-3.12
Pb  0.5000  0.5000  0.0000  2 Pb 3.12, 4 Cd 3.32
Pb  0.0000  0.0000  0.0000  2 Pb 3.12, 4 Cd 3.32

* offset from the most stable computed form: 27 meV/atom


The following is a PBE calculation of a relaxed structure of ZnIrSe, from Alexandria via LeMat-Bulk.

Cell lengths 4.2526, 4.2526, 4.2526 Å; angles 60.00, 60.00, 60.00 degrees
Last column: nearest neighbours and their distance in Å.
Element x y z (fractional)
Ir  0.5000  0.5000  0.5000  4 Se 2.60
Zn  0.0000  0.0000  0.0000  4 Se 2.60
Se  0.7500  0.7500  0.7500  4 Zn 2.60, 4 Ir 2.60

* offset from the most stable computed form: 410 meV/atom
* raw formation energy: 1.423 eV per formula unit


The following is a PBE calculation of a relaxed structure of KSr3Ir, from Alexandria via LeMat-Bulk.

Cell lengths 8.7274, 8.7274, 8.7274 Å; angles 45.42, 45.42, 45.42 degrees
Last column: nearest neighbours and their distance in Å.
Element x y z (fractional)
Sr  0.2750  0.7750  0.7750  4 Sr 3.37, 2 Ir 3.37
Sr  0.7750  0.7750  0.2750  4 Sr 3.37, 2 Ir 3.37
Sr  0.7750  0.2750  0.7750  4 Sr 3.37, 2 Ir 3.37
K  0.7749  0.7749  0.7749  6 Sr 4.36-4.37
Ir  0.2750  0.2750  0.2750  6 Sr 3.37

* offset from the most stable computed form: 955 meV/atom


The following is a PBE calculation of a relaxed structure of ScNb2IrC, from Alexandria via LeMat-Bulk.

Cell lengths 4.8046, 3.9342, 4.8046 Å; angles 90.00, 90.00, 90.00 degrees
Last column: nearest neighbours and their distance in Å.
Element x y z (fractional)
Sc  0.0000  0.0000  0.0000  2 C 1.97
Nb  0.0000  0.0000  0.5000  2 Sc 2.40
Nb  0.5000  0.0000  0.0000  2 Sc 2.40
C  0.0000  0.5000  0.0000  2 Sc 1.97
Ir  0.5000  0.5000  0.5000  8 Nb 3.10, 4 C 3.40

* offset from the most stable computed form: 0 meV/atom


The following is a PBE calculation of a relaxed structure of CeNd2Th3Se6, from Alexandria via LeMat-Bulk.

Cell lengths 4.2086, 8.4214, 9.4525 Å; angles 103.93, 102.86, 90.00 degrees
Last column: nearest neighbours and their distance in Å.
Element x y z (fractional)
Th  0.8327  0.1641  0.6654  6 Se 2.98-2.99
Th  0.5000  0.5000  0.0000  6 Se 2.99
Th  0.1673  0.8359  0.3346  6 Se 2.98-2.99
Nd  0.8343  0.6676  0.6687  6 Se 2.96-2.98
Nd  0.1657  0.3324  0.3313  6 Se 2.96-2.98
Se  0.6673  0.5843  0.3345  3 Nd 2.98, 3 Th 2.99
Se  0.3343  0.9150  0.6685  1 Ce 2.96, 2 Nd 2.96, 3 Th 2.98
Se  0.6657  0.0850  0.3315  1 Ce 2.96, 2 Nd 2.96, 3 Th 2.98
Se  0.3327  0.4157  0.6655  3 Nd 2.98, 3 Th 2.99
Se  0.0002  0.7519  0.0005  1 Nd 2.96, 2 Ce 2.97, 3 Th 2.98-2.99
Se  0.9998  0.2481  0.9995  1 Nd 2.96, 2 Ce 2.97, 3 Th 2.98-2.99
Ce  0.5000  0.0000  0.0000  6 Se 2.96-2.97

* raw formation energy: -20.173 eV per formula unit


The following is a PBE calculation of a relaxed structure of Nd3Sm6DyEr2, from Alexandria via LeMat-Bulk.

Cell lengths 6.2650, 6.2650, 11.9659 Å; angles 95.01, 95.01, 120.00 degrees
Last column: nearest neighbours and their distance in Å.
Element x y z (fractional)
Sm  0.9177  0.5842  0.7546  2 Er 3.56-3.57, 1 Dy 3.57, 6 Sm 3.62, 3 Nd 3.65-3.66
Sm  0.7487  0.7487  0.2454  1 Dy 3.57, 2 Er 3.57, 6 Sm 3.62, 3 Nd 3.66
Sm  0.2513  0.2513  0.7546  1 Dy 3.57, 2 Er 3.57, 6 Sm 3.62, 3 Nd 3.66
Sm  0.5842  0.9177  0.7546  2 Er 3.56-3.57, 1 Dy 3.57, 6 Sm 3.62, 3 Nd 3.65-3.66
Sm  0.4158  0.0823  0.2454  2 Er 3.56-3.57, 1 Dy 3.57, 6 Sm 3.62, 3 Nd 3.65-3.66
Sm  0.0823  0.4158  0.2454  2 Er 3.56-3.57, 1 Dy 3.57, 6 Sm 3.62, 3 Nd 3.65-3.66
Dy  0.0000  0.0000  0.0000  6 Sm 3.57, 6 Er 3.62
Er  0.6667  0.3333  0.0000  6 Sm 3.56-3.57, 3 Er 3.62, 3 Dy 3.62
Er  0.3333  0.6667  0.0000  6 Sm 3.56-3.57, 3 Er 3.62, 3 Dy 3.62
Nd  0.5000  0.5000  0.5000  6 Nd 3.62, 6 Sm 3.65-3.66
Nd  0.1667  0.8333  0.5000  6 Nd 3.62, 6 Sm 3.65-3.66
Nd  0.8333  0.1667  0.5000  6 Nd 3.62, 6 Sm 3.65-3.66


Quick rundown of E, same order as above: -6.6393; -3.2574; -2.5103; -4.0655; -2.1462; -6.9220; -6.5674; -4.6785 eV per atom
Quick rundown of magnetic moment, same order as above: 0.123; 0.523; 0.000; 0.000; 0.153; 0.000; 0.060; 0.000 μB/atom